Here is crystalline Cr2FeF at its relaxed geometry from the Alexandria database. Energies are from GGA+U.

Values from the calculation:
The energy relative to the lowest polymorph listed for this composition is 0.0 meV per atom. As for the space-group type: No. 122. The value obtained for the uncorrected energy is -41.13 eV per cell.

Lattice parameters (Å, degrees): 6.7780 6.7780 5.6480 53.13 53.13 90.00
Closest atoms and distances in Å follow each position.
Fractional coordinates of all 8 atoms:
F (0.5000, 0.5000, 0.0000)  4 Cr 2.22
Cr (0.1948, 0.6250, 0.2500)  2 F 2.22
Fe (0.0000, 0.0000, 0.0000)  8 Cr 2.85-3.06, 2 F 2.99
Cr (0.5552, 0.1250, 0.2500)  2 F 2.22
Fe (0.7500, 0.2500, 0.5000)  8 Cr 2.85-3.06, 2 F 2.99
Cr (0.8750, 0.8052, 0.7500)  2 F 2.22
F (0.2500, 0.7500, 0.5000)  4 Cr 2.22
Cr (0.3750, 0.4448, 0.7500)  2 F 2.22